DFT (GGA-PBEsol) results for a relaxed structure of CuSbS3.

a b c (Å): 4.913 4.913 4.913
angles (deg): 90.00 90.00 90.00
Element x y z (fractional)
Sb: 0.000 0.000 0.000
S: 0.000 0.500 0.000
S: 0.000 0.000 0.500
S: 0.500 0.000 0.000
Cu: 0.500 0.500 0.500

Computed properties:
As for the crystal system: cubic. Its total magnetization is 0.00 μB per cell. The value obtained for the density of states at the Fermi level is 5.41 states/eV/cell. The value obtained for the total energy is -18.02 eV for the cell shown. The calculation puts the uncorrected formation energy at 0.805 eV/atom.